DFT (PBE) results for an optimized crystal structure of PmDy4Pb4.

Cell lengths 10.0144, 10.0144, 6.2116 Å; angles 90.00, 90.00, 90.00 degrees
Closest atoms and distances in Å follow each position.
Space group P4_2/n (No. 86, origin choice 2)
Asymmetric unit:
Pm  0.2500  0.2500  0.2500 x2  4 Pb 3.18
Dy  0.0891  0.6508  0.1570 x8  5 Pb 3.12-3.21
Pb  0.0349  0.6212  0.6640 x8  5 Dy 3.12-3.21, 1 Pm 3.18, 1 Pb 3.25

Properties
Electronic total energy = -0.164 Ha/atom
DOS at the Fermi energy = 10.03 states/eV/f.u.
Magnetic moment = 0.00 μB per formula unit


DFT (PBE) results for an optimized crystal structure of PmDy5Pb5.

Cell lengths 15.7233, 6.2920, 7.4468 Å; angles 90.00, 102.94, 90.00 degrees
Closest atoms and distances in Å follow each position.
Space group C2/m (No. 12)
Asymmetric unit:
Pm  0.0000  0.0000  0.0000 x2  6 Pb 3.15-3.26
Dy  0.0000  0.0000  0.5000 x2  4 Pb 3.13
Dy  0.1562  0.5000  0.3398 x4  5 Pb 3.11-3.20
Dy  0.1677  0.5000  0.8420 x4  5 Pb 3.12-3.19
Pb  0.0000  0.5000  0.0000 x2  4 Dy 3.11-3.12, 2 Pm 3.15
Pb  0.1686  0.0000  0.3430 x4  5 Dy 3.13-3.20, 1 Pm 3.24
Pb  0.1696  0.0000  0.8149 x4  5 Dy 3.13-3.20, 1 Pm 3.26

Properties
Electronic total energy = -0.165 Ha/atom
DOS at the Fermi energy = 8.82 states/eV/f.u.
Magnetic moment = 0.62 μB per formula unit


DFT (PBE) results for an optimized crystal structure of PmDy4Pb2.

Cell lengths 5.4027, 5.4027, 16.4334 Å; angles 90.00, 90.00, 90.00 degrees
Closest atoms and distances in Å follow each position.
Space group I4/mmm (No. 139)
Asymmetric unit:
Pm  0.0000  0.0000  0.0000 x2  6 Dy 2.70-2.99
Dy  0.0000  0.0000  0.1819 x4  1 Pm 2.99, 1 Pb 3.08
Dy  0.0000  0.5000  0.0000 x4  2 Pm 2.70
Pb  0.0000  0.0000  0.3694 x4  5 Dy 3.08-3.45

Properties
Electronic total energy = -0.144 Ha/atom
DOS at the Fermi energy = 9.71 states/eV/f.u.
Magnetic moment = 0.00 μB per formula unit


DFT (PBE) results for an optimized crystal structure of PmDyPb2.

Cell lengths 4.8099, 4.8099, 20.2395 Å; angles 90.00, 90.00, 120.00 degrees
Closest atoms and distances in Å follow each position.
Space group R3m (No. 160, hexagonal axes)
Asymmetric unit:
Pm  0.0000  0.0000  0.0000 x3  6 Pb 3.24-3.33, 1 Dy 3.59
Dy  0.0000  0.0000  0.1776 x3  6 Pb 3.15-3.29
Pb  0.0000  0.0000  0.4238 x3  1 Pb 3.24, 3 Dy 3.29, 3 Pm 3.33
Pb  0.0000  0.0000  0.5840 x3  3 Dy 3.15, 1 Pb 3.24, 3 Pm 3.24

Properties
Electronic total energy = -0.167 Ha/atom
DOS at the Fermi energy = 2.99 states/eV/f.u.
Magnetic moment = 0.00 μB per formula unit


DFT (PBE) results for an optimized crystal structure of Pm3DyPb4.

Cell lengths 11.2669, 6.5205, 6.5217 Å; angles 90.00, 90.00, 90.00 degrees
Closest atoms and distances in Å follow each position.
Space group Pmn2_1 (No. 31)
Asymmetric unit:
Pm  0.0000  0.9999  0.0000 x2  8 Pb 3.26-3.64, 4 Pm 3.64
Pm  0.2499  0.2503  0.2499 x4  8 Pb 3.26-3.64, 2 Dy 3.64, 2 Pm 3.64
Dy  0.0000  0.5007  0.4997 x2  8 Pb 3.26-3.64, 4 Pm 3.64
Pb  0.0000  0.0004  0.4999 x2  2 Dy 3.26, 6 Pm 3.26-3.64, 4 Pb 3.64-3.65
Pb  0.0000  0.5002  0.9999 x2  6 Pm 3.26-3.64, 2 Dy 3.26, 4 Pb 3.64
Pb  0.2496  0.2503  0.7500 x4  6 Pm 3.26-3.64, 4 Pb 3.64-3.65, 2 Dy 3.64

Properties
Electronic total energy = -0.172 Ha/atom
DOS at the Fermi energy = 5.53 states/eV/f.u.
Magnetic moment = 0.00 μB per formula unit


DFT (PBE) results for an optimized crystal structure of Pm3DyPb5.

Cell lengths 9.6838, 9.6838, 6.6087 Å; angles 90.00, 90.00, 120.00 degrees
Closest atoms and distances in Å follow each position.
Space group P6_3/mcm (No. 193)
Asymmetric unit:
Pm  0.0000  0.3815  0.2500 x6  9 Pb 3.24-3.44
Dy  0.0000  0.0000  0.0000 x2  6 Pb 3.21, 2 Dy 3.30
Pb  0.0000  0.2844  0.7500 x6  2 Dy 3.21, 5 Pm 3.24-3.44
Pb  0.3333  0.6667  0.0000 x4  2 Pb 3.30, 6 Pm 3.44

Properties
Electronic total energy = -0.170 Ha/atom
DOS at the Fermi energy = 8.99 states/eV/f.u.
Magnetic moment = 0.00 μB per formula unit


DFT (PBE) results for an optimized crystal structure of PmDy2Pb4.

Cell lengths 4.8771, 4.8771, 18.3648 Å; angles 90.00, 90.00, 90.00 degrees
Closest atoms and distances in Å follow each position.
Space group I4/mmm (No. 139)
Asymmetric unit:
Pm  0.0000  0.0000  0.0000 x2  8 Pb 3.33
Dy  0.0000  0.0000  0.2437 x4  8 Pb 3.29-3.45, 4 Dy 3.46
Pb  0.0000  0.5000  0.1237 x8  4 Dy 3.29-3.45, 2 Pm 3.33, 4 Pb 3.45

Properties
Electronic total energy = -0.165 Ha/atom
DOS at the Fermi energy = 5.16 states/eV/f.u.
Magnetic moment = 0.00 μB per formula unit


DFT (PBE) results for an optimized crystal structure of Pm6DyPb10.

Cell lengths 9.5373, 9.5373, 6.5759 Å; angles 90.00, 90.00, 120.00 degrees
Closest atoms and distances in Å follow each position.
Space group P-31m (No. 162)
Asymmetric unit:
Pm  0.0000  0.3884  0.2643 x6  8 Pb 3.29-3.43
Dy  0.0000  0.0000  0.5000 x1  6 Pb 3.15
Pb  0.0000  0.2598  0.7957 x6  1 Dy 3.15, 4 Pm 3.29-3.38
Pb  0.3333  0.6667  0.0000 x2  2 Pb 3.29, 6 Pm 3.43
Pb  0.3333  0.6667  0.5000 x2  2 Pb 3.29, 6 Pm 3.33

Properties
Electronic total energy = -0.166 Ha/atom
DOS at the Fermi energy = 12.61 states/eV/f.u.
Magnetic moment = 0.00 μB per formula unit


DFT (PBE) results for an optimized crystal structure of Pm2DyPb2.

Cell lengths 10.4310, 4.6774, 7.7482 Å; angles 90.00, 127.47, 90.00 degrees
Closest atoms and distances in Å follow each position.
Space group C2/m (No. 12)
Asymmetric unit:
Pm  0.1882  0.0000  0.1121 x4  1 Pm 3.18, 5 Pb 3.26-3.50
Dy  0.0000  0.0000  0.5000 x2  4 Pb 3.22
Pb  0.0747  0.5000  0.2868 x4  2 Dy 3.22, 5 Pm 3.26-3.50

Properties
Electronic total energy = -0.173 Ha/atom
DOS at the Fermi energy = 3.97 states/eV/f.u.
Magnetic moment = 0.00 μB per formula unit


DFT (PBE) results for an optimized crystal structure of Pm5Dy2Pb4.

Cell lengths 27.3341, 3.5669, 7.5825 Å; angles 90.00, 92.40, 90.00 degrees
Closest atoms and distances in Å follow each position.
Space group C2/m (No. 12)
Asymmetric unit:
Pm  0.0000  0.0000  0.0000 x2  4 Pb 3.26, 2 Pm 3.57
Pm  0.1404  0.5000  0.8418 x4  3 Pb 3.18-3.32
Pm  0.2364  0.5000  0.2146 x4  3 Pb 3.26-3.33, 2 Pm 3.57
Dy  0.0872  0.5000  0.2976 x4  4 Pb 3.21-3.31, 2 Dy 3.57
Pb  0.0329  0.5000  0.6652 x4  1 Pb 3.02, 3 Pm 3.18-3.26, 2 Dy 3.21-3.31
Pb  0.1722  0.0000  0.4960 x4  2 Dy 3.25, 5 Pm 3.26-3.33, 2 Pb 3.57

Properties
Electronic total energy = -0.164 Ha/atom
DOS at the Fermi energy = 11.98 states/eV/f.u.
Magnetic moment = 0.00 μB per formula unit


DFT (PBE) results for an optimized crystal structure of Pm2Dy3Pb3.

Cell lengths 4.4601, 4.9099, 21.5171 Å; angles 90.00, 90.00, 90.00 degrees
Closest atoms and distances in Å follow each position.
Space group Immm (No. 71)
Asymmetric unit:
Pm  0.0000  0.0000  0.2445 x4  4 Pm 3.33, 4 Pb 3.35-3.68, 4 Dy 3.63-3.67
Dy  0.0000  0.0000  0.0000 x2  8 Pb 3.32-3.54, 4 Dy 3.56
Dy  0.0000  0.5000  0.1201 x4  6 Pb 3.32-3.41, 2 Dy 3.56, 4 Pm 3.63-3.67
Pb  0.0000  0.0000  0.5000 x2  8 Dy 3.32-3.41, 4 Pb 3.69
Pb  0.0000  0.5000  0.3720 x4  6 Dy 3.32-3.54, 4 Pm 3.35-3.68, 2 Pb 3.69

Properties
Electronic total energy = -0.172 Ha/atom
DOS at the Fermi energy = 8.40 states/eV/f.u.
Magnetic moment = 0.00 μB per formula unit


DFT (PBE) results for an optimized crystal structure of Pm3DyPb4.

Cell lengths 7.5964, 12.8137, 5.2648 Å; angles 90.00, 90.00, 90.00 degrees
Closest atoms and distances in Å follow each position.
Space group Cmmm (No. 65)
Asymmetric unit:
Pm  0.0000  0.0000  0.0000 x2  6 Pb 3.24-3.29
Pm  0.2500  0.2500  0.5000 x4  6 Pb 3.20-3.25
Dy  0.0000  0.5000  0.0000 x2  6 Pb 3.17-3.21
Pb  0.0000  0.2526  0.0000 x4  1 Dy 3.17, 5 Pm 3.24-3.25
Pb  0.2412  0.5000  0.5000 x4  4 Pm 3.20-3.29, 2 Dy 3.21

Properties
Electronic total energy = -0.171 Ha/atom
DOS at the Fermi energy = 5.40 states/eV/f.u.
Magnetic moment = 0.00 μB per formula unit


Please write out number 9 again, unchanged.
DFT (PBE) results for an optimized crystal structure of Pm2DyPb2.

Cell lengths 10.4310, 4.6774, 7.7482 Å; angles 90.00, 127.47, 90.00 degrees
Closest atoms and distances in Å follow each position.
Space group C2/m (No. 12)
Asymmetric unit:
Pm  0.1882  0.0000  0.1121 x4  1 Pm 3.18, 5 Pb 3.26-3.50
Dy  0.0000  0.0000  0.5000 x2  4 Pb 3.22
Pb  0.0747  0.5000  0.2868 x4  2 Dy 3.22, 5 Pm 3.26-3.50

Properties
Electronic total energy = -0.173 Ha/atom
DOS at the Fermi energy = 3.97 states/eV/f.u.
Magnetic moment = 0.00 μB per formula unit


Question: Which value of magnetic moment does entry 3 give?
Answer: 0.00 μB per formula unit


Question: The highest magnetic moment belongs to which entry?
Answer: PmDy5Pb5


Question: Which formula does entry 10 have?
Answer: Pm5Dy2Pb4